No. 1
{"formula": "LaTb2Mn", "functional": "PBE", "state": "relaxed", "cell": [[-2.570, -0.119, -2.287], [-3.265, -0.124, 1.084], [-2.408, 11.435, -0.478]], "species": ["Mn", "Tb", "Tb", "La"], "fractional_positions": [[0.000, 0.000, 0.000], [0.080, 0.080, 0.759], [0.920, 0.920, 0.241], [0.500, 0.500, 0.500]], "space_group": "R-3m", "crystal_system": "trigonal", "dos_at_fermi_per_ev_fu": 4.60, "delta_e_f_mev_per_atom": 534, "total_magnetization_mub_per_cell": 3.15, "polymorph_energy_ev_per_atom": 0.4069, "energy_ev_per_cell": -21.221}

No. 2
{"formula": "Ba2CaTa", "functional": "PBE", "state": "relaxed", "cell": [[4.078, 0.000, 0.000], [0.000, 4.078, 0.000], [0.000, 0.000, 9.788]], "species": ["Ca", "Ba", "Ba", "Ta"], "fractional_positions": [[0.000, 0.000, 0.564], [0.000, 0.000, 0.934], [0.500, 0.500, 0.286], [0.500, 0.500, 0.716]], "space_group": "P4mm", "crystal_system": "tetragonal", "dos_at_fermi_per_ev_fu": 5.51, "delta_e_f_mev_per_atom": 803, "total_magnetization_mub_per_cell": 2.24, "polymorph_energy_ev_per_atom": 0.0000, "energy_ev_per_cell": -14.486}

No. 3
{"formula": "Ac4HgPb3", "functional": "PBE", "state": "relaxed", "cell": [[4.906, 0.000, 0.000], [0.000, 4.795, 0.000], [0.000, 0.000, 12.565]], "species": ["Ac", "Ac", "Ac", "Ac", "Hg", "Pb", "Pb", "Pb"], "fractional_positions": [[0.500, 0.500, 0.358], [0.000, 0.500, 0.867], [0.000, 0.000, 0.134], [0.500, 0.000, 0.636], [0.500, 0.500, 0.086], [0.000, 0.500, 0.591], [0.000, 0.000, 0.410], [0.500, 0.000, 0.918]], "space_group": "Pmm2", "crystal_system": "orthorhombic", "dos_at_fermi_per_ev_fu": 8.63, "delta_e_f_mev_per_atom": -513, "total_magnetization_mub_per_cell": 0.38, "energy_ev_per_cell": -31.962}

Repeat the third record exactly.
{"formula": "Ac4HgPb3", "functional": "PBE", "state": "relaxed", "cell": [[4.906, 0.000, 0.000], [0.000, 4.795, 0.000], [0.000, 0.000, 12.565]], "species": ["Ac", "Ac", "Ac", "Ac", "Hg", "Pb", "Pb", "Pb"], "fractional_positions": [[0.500, 0.500, 0.358], [0.000, 0.500, 0.867], [0.000, 0.000, 0.134], [0.500, 0.000, 0.636], [0.500, 0.500, 0.086], [0.000, 0.500, 0.591], [0.000, 0.000, 0.410], [0.500, 0.000, 0.918]], "space_group": "Pmm2", "crystal_system": "orthorhombic", "dos_at_fermi_per_ev_fu": 8.63, "delta_e_f_mev_per_atom": -513, "total_magnetization_mub_per_cell": 0.38, "energy_ev_per_cell": -31.962}

What is the formula in the third record?
Ac4HgPb3